# 1
Below is a geometry-optimized CoRe5 structure, with properties calculated at the GGA-PBE level.

The structure in extended XYZ format:
```
6
Lattice="4.759 0.000 0.000 -2.379 4.121 0.000 0.000 0.000 4.378" Properties=species:S:1:pos:R:3 pbc="T T T"
Co 0.000 0.000 0.000
Re -1.602 2.775 2.189
Re 0.777 1.346 2.189
Re 0.000 2.747 0.000
Re 2.379 1.374 0.000
Re 3.204 0.000 2.189
```

## Properties
Space group: P-62m (189)
ρ (g/cm³): 19.15
Energy of formation from the pure elements (eV per atom): 0.00
Crystal system: hexagonal



# 2
Below is a geometry-optimized Co3Re structure, with properties calculated at the GGA-PBE level.

The structure in extended XYZ format:
```
16
Lattice="6.695 0.000 0.000 0.000 7.211 0.000 0.000 0.000 4.219" Properties=species:S:1:pos:R:3 pbc="T T T"
Co 0.000 0.490 1.055
Co 0.000 6.720 3.165
Co 1.155 1.841 3.165
Co 1.155 5.370 1.055
Co 2.193 1.764 1.055
Co 2.193 5.446 3.165
Co 3.348 3.115 3.165
Co 3.348 4.096 1.055
Co 4.503 1.764 1.055
Co 4.503 5.446 3.165
Co 5.540 1.841 3.165
Co 5.540 5.370 1.055
Re 0.000 2.906 1.055
Re 0.000 4.305 3.165
Re 3.348 0.699 3.165
Re 3.348 6.511 1.055
```

## Properties
Space group: Cmcm (63)
ρ (g/cm³): 11.84
Energy of formation from the pure elements (eV per atom): 0.34
Crystal system: orthorhombic



# 3
Below is a geometry-optimized CoRe2 structure, with properties calculated at the GGA-PBE level.

The structure in extended XYZ format:
```
3
Lattice="4.234 0.000 0.000 0.000 4.234 0.000 0.000 0.000 2.577" Properties=species:S:1:pos:R:3 pbc="T T T"
Co 0.000 0.000 0.000
Re 0.000 2.117 1.289
Re 2.117 0.000 1.289
```

## Properties
Space group: P4/mmm (123)
ρ (g/cm³): 15.50
Energy of formation from the pure elements (eV per atom): 0.91
Crystal system: tetragonal



# 4
Below is a geometry-optimized Co3Re structure, with properties calculated at the GGA-PBE level.

The structure in extended XYZ format:
```
16
Lattice="3.567 0.000 0.000 0.000 3.567 0.000 0.000 0.000 14.392" Properties=species:S:1:pos:R:3 pbc="T T T"
Co 0.000 0.000 1.715
Co 0.000 0.000 12.677
Co 0.000 1.783 0.000
Co 0.000 1.783 3.598
Co 0.000 1.783 7.196
Co 0.000 1.783 10.794
Co 1.783 0.000 0.000
Co 1.783 0.000 3.598
Co 1.783 0.000 7.196
Co 1.783 0.000 10.794
Co 1.783 1.783 5.481
Co 1.783 1.783 8.911
Re 0.000 0.000 5.347
Re 0.000 0.000 9.045
Re 1.783 1.783 1.849
Re 1.783 1.783 12.542
```

## Properties
Space group: I4/mmm (139)
ρ (g/cm³): 13.17
Energy of formation from the pure elements (eV per atom): 0.04
Crystal system: tetragonal



# 5
Below is a geometry-optimized CoReRh6 structure, with properties calculated at the GGA-PBE level.

The structure in extended XYZ format:
```
8
Lattice="3.566 2.059 2.620 -3.566 2.059 2.620 0.000 -4.118 2.620" Properties=species:S:1:pos:R:3 pbc="T T T"
Co 0.000 0.000 0.000
Re 0.000 0.000 3.931
Rh -2.578 -0.278 3.235
Rh -1.048 -2.371 4.626
Rh 1.530 -2.093 3.235
Rh -1.530 2.093 4.626
Rh 1.048 2.371 3.235
Rh 2.578 0.278 4.626
```

## Properties
Space group: R-3 (148)
ρ (g/cm³): 12.41
Energy of formation from the pure elements (eV per atom): 0.17
Crystal system: trigonal



# 6
Below is a geometry-optimized CoReRh2 structure, with properties calculated at the GGA-PBE level.

The structure in extended XYZ format:
```
8
Lattice="5.359 0.000 0.000 0.000 7.582 0.000 0.000 0.000 2.693" Properties=species:S:1:pos:R:3 pbc="T T T"
Co 0.000 0.000 0.000
Co 2.680 3.791 0.000
Re 0.000 3.791 0.000
Re 2.680 0.000 0.000
Rh 1.340 1.896 1.346
Rh 1.340 5.687 1.346
Rh 4.019 1.896 1.346
Rh 4.019 5.687 1.346
```

## Properties
Space group: Cmmm (65)
ρ (g/cm³): 13.69
Energy of formation from the pure elements (eV per atom): 0.04
Crystal system: orthorhombic



# 7
Below is a geometry-optimized CoReRh2 structure, with properties calculated at the GGA-PBE level.

The structure in extended XYZ format:
```
4
Lattice="2.696 0.000 0.000 0.000 2.696 0.000 0.000 0.000 7.454" Properties=species:S:1:pos:R:3 pbc="T T T"
Co 0.000 0.000 0.000
Re 1.348 1.348 1.757
Rh 0.000 0.000 3.680
Rh 1.348 1.348 5.696
```

## Properties
Space group: P4mm (99)
ρ (g/cm³): 13.82
Energy of formation from the pure elements (eV per atom): 0.01
Crystal system: tetragonal



# 8
Below is a geometry-optimized CoReRh structure, with properties calculated at the GGA-PBE level.

The structure in extended XYZ format:
```
12
Lattice="7.525 0.000 0.000 0.000 4.345 0.000 -1.959 0.000 5.045" Properties=species:S:1:pos:R:3 pbc="T T T"
Co -0.406 0.000 1.073
Co 2.209 2.172 3.972
Co 3.356 2.172 1.073
Co 5.971 0.000 3.972
Re -0.301 2.172 4.229
Re 2.103 0.000 0.816
Re 3.462 0.000 4.229
Re 5.866 2.172 0.816
Rh 0.782 2.172 1.753
Rh 1.021 0.000 3.292
Rh 4.545 0.000 1.753
Rh 4.783 2.172 3.292
```

## Properties
Space group: C2/m (12)
ρ (g/cm³): 14.02
Energy of formation from the pure elements (eV per atom): 0.15
Crystal system: monoclinic



# 9
Below is a geometry-optimized CoReRh2 structure, with properties calculated at the GGA-PBE level.

The structure in extended XYZ format:
```
16
Lattice="6.039 0.000 0.000 0.000 6.039 0.000 0.000 0.000 6.039" Properties=species:S:1:pos:R:3 pbc="T T T"
Co 0.000 0.000 0.000
Co 0.000 3.020 3.020
Co 3.020 0.000 3.020
Co 3.020 3.020 0.000
Re 1.510 1.510 1.510
Re 1.510 4.530 4.530
Re 4.530 1.510 4.530
Re 4.530 4.530 1.510
Rh 0.000 0.000 3.020
Rh 0.000 3.020 0.000
Rh 1.510 1.510 4.530
Rh 1.510 4.530 1.510
Rh 3.020 0.000 0.000
Rh 3.020 3.020 3.020
Rh 4.530 1.510 1.510
Rh 4.530 4.530 4.530
```

## Properties
Space group: F-43m (216)
ρ (g/cm³): 13.60
Energy of formation from the pure elements (eV per atom): 0.30
Crystal system: cubic



# 10
Below is a geometry-optimized CoReRh4 structure, with properties calculated at the GGA-PBE level.

The structure in extended XYZ format:
```
6
Lattice="4.097 0.000 0.000 0.000 4.097 0.000 0.000 0.000 5.778" Properties=species:S:1:pos:R:3 pbc="T T T"
Co 0.000 0.000 0.000
Re 2.048 2.048 2.889
Rh 0.000 2.048 1.412
Rh 0.000 2.048 4.366
Rh 2.048 0.000 1.412
Rh 2.048 0.000 4.366
```

## Properties
Space group: P4/mmm (123)
ρ (g/cm³): 11.25
Energy of formation from the pure elements (eV per atom): 0.36
Crystal system: tetragonal



# 11
Below is a geometry-optimized CoReRh2 structure, with properties calculated at the GGA-PBE level.

The structure in extended XYZ format:
```
16
Lattice="5.426 0.000 0.000 0.000 5.426 0.000 0.000 0.000 10.555" Properties=species:S:1:pos:R:3 pbc="T T T"
Co 0.000 0.000 0.000
Co 0.000 2.713 2.639
Co 2.713 0.000 7.916
Co 2.713 2.713 5.277
Re 0.000 0.000 5.277
Re 0.000 2.713 7.916
Re 2.713 0.000 2.639
Re 2.713 2.713 0.000
Rh 1.260 1.357 1.319
Rh 1.357 3.973 3.958
Rh 1.357 4.167 9.236
Rh 1.454 1.357 6.597
Rh 3.973 4.070 6.597
Rh 4.070 1.260 9.236
Rh 4.070 1.454 3.958
Rh 4.167 4.070 1.319
```

## Properties
Space group: I-42d (122)
ρ (g/cm³): 9.64
Energy of formation from the pure elements (eV per atom): 1.10
Crystal system: tetragonal



# 12
Below is a geometry-optimized CoReRh2 structure, with properties calculated at the GGA-PBE level.

The structure in extended XYZ format:
```
12
Lattice="2.714 0.000 0.000 -1.357 2.351 0.000 0.000 0.000 25.953" Properties=species:S:1:pos:R:3 pbc="T T T"
Co 0.000 0.000 0.000
Co 0.000 1.567 17.302
Co 1.357 0.784 8.651
Re 0.000 0.000 6.538
Re 0.000 1.567 23.840
Re 1.357 0.784 15.189
Rh 0.000 0.000 13.031
Rh 0.000 0.000 19.371
Rh 0.000 1.567 4.380
Rh 0.000 1.567 10.720
Rh 1.357 0.784 2.069
Rh 1.357 0.784 21.682
```

## Properties
Space group: R3m (160)
ρ (g/cm³): 13.57
Energy of formation from the pure elements (eV per atom): 0.06
Crystal system: trigonal



# 13
Below is a geometry-optimized Co2ReRh2 structure, with properties calculated at the GGA-PBE level.

The structure in extended XYZ format:
```
10
Lattice="6.945 0.000 0.000 0.000 6.945 0.000 0.000 0.000 2.732" Properties=species:S:1:pos:R:3 pbc="T T T"
Co 0.841 2.632 0.000
Co 2.632 6.104 0.000
Co 4.313 0.841 0.000
Co 6.104 4.313 0.000
Re 0.000 0.000 0.000
Re 3.472 3.472 0.000
Rh 1.222 4.695 1.366
Rh 2.250 1.222 1.366
Rh 4.695 5.723 1.366
Rh 5.723 2.250 1.366
```

## Properties
Space group: P4/mbm (127)
ρ (g/cm³): 12.85
Energy of formation from the pure elements (eV per atom): 0.24
Crystal system: tetragonal



# 14
Below is a geometry-optimized CoReRh structure, with properties calculated at the GGA-PBE level.

The structure in extended XYZ format:
```
6
Lattice="2.694 0.000 0.000 0.000 2.694 0.000 0.000 0.000 10.966" Properties=species:S:1:pos:R:3 pbc="T T T"
Co 0.000 0.000 0.000
Co 1.347 1.347 5.483
Re 0.000 0.000 7.160
Re 1.347 1.347 1.677
Rh 0.000 0.000 3.600
Rh 1.347 1.347 9.083
```

## Properties
Space group: I4mm (107)
ρ (g/cm³): 14.52
Energy of formation from the pure elements (eV per atom): 0.00
Crystal system: tetragonal



# 15
Below is a geometry-optimized CoReRh2 structure, with properties calculated at the GGA-PBE level.

The structure in extended XYZ format:
```
8
Lattice="3.782 0.000 0.000 0.000 3.782 0.000 0.000 0.000 7.555" Properties=species:S:1:pos:R:3 pbc="T T T"
Co 0.000 0.000 0.000
Co 1.891 1.891 3.777
Re 0.000 0.000 3.777
Re 1.891 1.891 0.000
Rh 0.000 1.891 1.889
Rh 0.000 1.891 5.666
Rh 1.891 0.000 1.889
Rh 1.891 0.000 5.666
```

## Properties
Space group: I4/mmm (139)
ρ (g/cm³): 13.86
Energy of formation from the pure elements (eV per atom): -0.01
Crystal system: tetragonal



# 16
Below is a geometry-optimized CoReRh2 structure, with properties calculated at the GGA-PBE level.

The structure in extended XYZ format:
```
4
Lattice="2.697 0.000 0.000 0.000 3.790 0.000 0.000 0.000 5.313" Properties=species:S:1:pos:R:3 pbc="T T T"
Co 0.000 0.000 0.000
Re 0.000 0.000 2.657
Rh 1.348 1.895 1.303
Rh 1.348 1.895 4.010
```

## Properties
Space group: Pmmm (47)
ρ (g/cm³): 13.79
Energy of formation from the pure elements (eV per atom): -0.03
Crystal system: orthorhombic



# 17
Below is a geometry-optimized Co2ReRh2 structure, with properties calculated at the GGA-PBE level.

The structure in extended XYZ format:
```
10
Lattice="7.077 0.000 0.000 0.000 7.077 0.000 0.000 0.000 2.671" Properties=species:S:1:pos:R:3 pbc="T T T"
Co 1.205 2.334 0.000
Co 2.334 5.872 0.000
Co 4.743 1.205 0.000
Co 5.872 4.743 0.000
Re 0.000 0.000 1.336
Re 3.538 3.538 1.336
Rh 0.914 4.452 1.336
Rh 2.625 0.914 1.336
Rh 4.452 6.163 1.336
Rh 6.163 2.625 1.336
```

## Properties
Space group: P4/mbm (127)
ρ (g/cm³): 12.66
Energy of formation from the pure elements (eV per atom): 0.32
Crystal system: tetragonal



# 18
Below is a geometry-optimized CoReRh3 structure, with properties calculated at the GGA-PBE level.

The structure in extended XYZ format:
```
5
Lattice="4.385 0.000 0.000 0.000 4.385 0.000 0.000 0.000 4.385" Properties=species:S:1:pos:R:3 pbc="T T T"
Co 0.000 0.000 0.000
Re 2.193 2.193 2.193
Rh 0.000 0.000 2.193
Rh 0.000 2.193 0.000
Rh 2.193 0.000 0.000
```

## Properties
Space group: Pm-3m (221)
ρ (g/cm³): 10.91
Energy of formation from the pure elements (eV per atom): 1.47
Crystal system: cubic



# 19
Below is a geometry-optimized CoReRh2 structure, with properties calculated at the GGA-PBE level.

The structure in extended XYZ format:
```
8
Lattice="8.903 0.000 0.000 0.000 2.677 0.000 -0.791 0.000 4.545" Properties=species:S:1:pos:R:3 pbc="T T T"
Co 0.000 0.000 0.000
Co 4.451 1.339 0.000
Re -0.396 1.339 2.273
Re 4.056 0.000 2.273
Rh 2.018 1.339 1.121
Rh 1.642 0.000 3.424
Rh 6.470 0.000 1.121
Rh 6.093 1.339 3.424
```

## Properties
Space group: C2/m (12)
ρ (g/cm³): 13.82
Energy of formation from the pure elements (eV per atom): 0.02
Crystal system: monoclinic



# 20
Below is a geometry-optimized CoReRh structure, with properties calculated at the GGA-PBE level.

The structure in extended XYZ format:
```
3
Lattice="4.174 0.000 0.000 -2.087 3.615 0.000 0.000 0.000 2.659" Properties=species:S:1:pos:R:3 pbc="T T T"
Co 0.000 0.000 0.000
Re 2.087 1.205 0.000
Rh 0.000 2.410 1.330
```

## Properties
Space group: P-6m2 (187)
ρ (g/cm³): 14.40
Energy of formation from the pure elements (eV per atom): 0.07
Crystal system: hexagonal